# Cs3Na2Hg2

A geometry-optimized Cs3Na2Hg2 structure (PBE, Alexandria via LeMat-Bulk).

```
Cs3Na2Hg2
1.0
-6.468 0.621 -5.453
-3.675 -8.244 3.421
-9.333 9.190 12.119
Na Hg Cs
8 8 12
direct
0.601 0.074 0.575
0.601 0.074 0.925
0.601 0.426 0.075
0.399 0.926 0.075
0.399 0.926 0.425
0.399 0.574 0.925
0.601 0.426 0.425
0.399 0.574 0.575
0.793 0.134 0.750
0.697 0.750 0.000
0.207 0.866 0.250
0.303 0.250 0.000
0.697 0.750 0.500
0.303 0.250 0.500
0.207 0.634 0.750
0.793 0.366 0.250
0.629 0.727 0.250
0.084 0.572 0.388
0.916 0.072 0.388
0.084 0.928 0.612
0.916 0.072 0.112
0.084 0.572 0.112
0.371 0.273 0.750
0.916 0.428 0.888
0.916 0.428 0.612
0.629 0.773 0.750
0.084 0.928 0.888
0.371 0.227 0.250
```

Summary:
E_form = -140 meV/atom



# MgCuSb3

A geometry-optimized MgCuSb3 structure (PBE, Alexandria via LeMat-Bulk).

```
MgCuSb3
1.0
5.136 0.000 0.000
0.000 5.136 0.000
0.000 0.000 5.136
Mg Sb Cu
1 3 1
direct
0.500 0.500 0.500
0.500 0.000 0.000
0.000 0.000 0.500
0.000 0.500 0.000
0.000 0.000 0.000
```

Summary:
ΔE_f (raw) = 364 meV/atom
Energy above the most stable polymorph in this dataset = 0.000 eV/atom



# Ba3SnCl

A geometry-optimized Ba3SnCl structure (PBE, Alexandria via LeMat-Bulk).

```
Ba3SnCl
1.0
-0.696 3.115 5.026
-3.707 -4.172 2.072
4.606 -2.887 2.428
Ba Cl Sn
3 1 1
direct
0.000 0.500 0.000
0.500 0.000 0.000
0.000 0.000 0.500
0.000 0.000 0.000
0.500 0.500 0.500
```

Summary:
ΔE_f (raw) = -866 meV/atom
Energy above the most stable polymorph in this dataset = 0.000 eV/atom



# Cr2CoTc

A geometry-optimized Cr2CoTc structure (PBE, Alexandria via LeMat-Bulk).

```
Cr2CoTc
1.0
-0.191 1.515 -2.016
1.043 -2.101 -0.946
-7.127 -2.870 -1.483
Co Cr Tc
1 2 1
direct
0.500 0.500 0.750
0.000 0.000 0.980
0.000 0.000 0.520
0.500 0.500 0.250
```

Summary:
E_form = 153 meV/atom



# Pr3Ho4Mg

A geometry-optimized Pr3Ho4Mg structure (PBE, Alexandria via LeMat-Bulk).

```
Pr3Ho4Mg
1.0
-2.980 -4.747 2.796
5.268 -0.411 4.917
-5.593 7.406 6.612
Ho Mg Pr
8 2 6
direct
0.644 0.878 0.256
0.144 0.122 0.756
0.644 0.878 0.744
0.982 0.875 0.500
0.968 0.888 0.000
0.482 0.125 0.000
0.144 0.122 0.244
0.468 0.112 0.500
0.484 0.634 0.500
0.984 0.366 0.000
0.148 0.622 0.759
0.648 0.378 0.741
0.648 0.378 0.259
0.148 0.622 0.241
0.497 0.631 0.000
0.997 0.369 0.500
```

Summary:
E_form = 3 meV/atom
Energy above the most stable polymorph in this dataset = 0.000 eV/atom



# CsYC

A geometry-optimized CsYC structure (PBE, Alexandria via LeMat-Bulk).

```
CsYC
1.0
10.845 0.000 0.000
0.000 7.262 0.000
0.000 0.000 8.036
Cs C Y
4 4 4
direct
0.362 0.750 0.959
0.862 0.750 0.541
0.138 0.250 0.459
0.638 0.250 0.041
0.558 0.750 0.635
0.442 0.250 0.365
0.058 0.750 0.865
0.942 0.250 0.135
0.500 0.000 0.500
0.000 0.500 0.000
0.500 0.500 0.500
0.000 0.000 0.000
```

Summary:
E_form = 1115 meV/atom
Energy above the most stable polymorph in this dataset = 1.067 eV/atom



# InGa2Ni2

A geometry-optimized InGa2Ni2 structure (PBE, Alexandria via LeMat-Bulk).

```
InGa2Ni2
1.0
-1.149 3.429 -0.279
-0.594 0.092 3.577
4.659 3.684 2.518
Ga Ni In
2 2 1
direct
0.250 0.750 0.500
0.750 0.250 0.500
0.606 0.606 0.788
0.394 0.394 0.212
0.000 0.000 0.000
```

Summary:
E_form = -144 meV/atom
Energy above the most stable polymorph in this dataset = 0.126 eV/atom



# AgHg3

A geometry-optimized AgHg3 structure (PBE, Alexandria via LeMat-Bulk).

```
AgHg3
1.0
-2.832 2.289 -4.935
-3.074 -4.593 -0.367
-3.683 2.214 3.141
Hg Ag
6 2
direct
0.754 0.000 0.158
0.254 0.500 0.842
0.246 0.000 0.158
0.500 0.000 0.647
0.746 0.500 0.842
0.000 0.500 0.353
0.000 0.000 0.662
0.500 0.500 0.338
```

Summary:
E_form = 106 meV/atom



# Pm2PrCu6

A geometry-optimized Pm2PrCu6 structure (PBE, Alexandria via LeMat-Bulk).

```
Pm2PrCu6
1.0
-2.403 2.839 -0.429
-1.957 -0.343 -7.646
-6.482 -3.457 -2.905
Cu Pm Pr
6 2 1
direct
0.000 0.176 0.824
0.169 0.510 0.152
0.000 0.824 0.176
0.831 0.490 0.848
0.831 0.848 0.490
0.169 0.152 0.510
0.642 0.858 0.858
0.358 0.142 0.142
0.500 0.500 0.500
```

Summary:
E_form = -75 meV/atom
Energy above the most stable polymorph in this dataset = 0.146 eV/atom



# Ca2GaOsRh

A geometry-optimized Ca2GaOsRh structure (PBE, Alexandria via LeMat-Bulk).

```
Ca2GaOsRh
1.0
-2.558 -0.280 -4.690
-3.672 -2.110 2.129
-2.214 4.782 0.922
Ga Ca Rh Os
1 2 1 1
direct
0.000 0.500 0.000
0.500 0.000 0.000
0.000 0.000 0.500
0.500 0.500 0.500
0.000 0.000 0.000
```

Summary:
E_form = 633 meV/atom



# MgBeCd

A geometry-optimized MgBeCd structure (PBE, Alexandria via LeMat-Bulk).

```
MgBeCd
1.0
4.745 0.011 0.035
2.343 4.519 0.025
2.389 0.025 4.734
Cd Be Mg
2 2 2
direct
0.532 0.080 0.000
0.036 0.768 0.306
0.435 0.270 0.504
0.936 0.270 0.504
0.348 0.771 0.676
0.852 0.435 0.008
```

Summary:
E_form = 152 meV/atom
Energy above the most stable polymorph in this dataset = 0.000 eV/atom



# Fe3HW

A geometry-optimized Fe3HW structure (PBE, Alexandria via LeMat-Bulk).

```
Fe3HW
1.0
4.527 0.000 0.000
0.000 4.527 0.000
0.000 0.000 4.527
H Fe W
1 3 1
direct
0.500 0.500 0.500
0.000 0.500 0.000
0.500 0.000 0.000
0.000 0.000 0.500
0.000 0.000 0.000
```

Summary:
Energy above the most stable polymorph in this dataset = 2.141 eV/atom



# Li2TaOs

A geometry-optimized Li2TaOs structure (PBE, Alexandria via LeMat-Bulk).

```
Li2TaOs
1.0
0.000 2.978 2.978
2.978 0.000 2.978
2.978 2.978 0.000
Ta Os Li
1 1 2
direct
0.000 0.000 0.000
0.500 0.500 0.500
0.750 0.750 0.750
0.250 0.250 0.250
```

Summary:
E_form = 555 meV/atom
Energy above the most stable polymorph in this dataset = 0.425 eV/atom



# TlAgTe2

A geometry-optimized TlAgTe2 structure (PBE, Alexandria via LeMat-Bulk).

```
TlAgTe2
1.0
6.811 0.000 0.000
0.000 11.845 0.000
0.000 0.000 6.321
Te Tl Ag
8 4 4
direct
0.623 0.357 0.930
0.901 0.437 0.229
0.099 0.563 0.729
0.599 0.937 0.729
0.401 0.063 0.229
0.377 0.643 0.430
0.877 0.857 0.430
0.123 0.143 0.930
0.690 0.670 0.999
0.310 0.330 0.499
0.810 0.170 0.499
0.190 0.830 0.999
0.812 0.010 0.092
0.188 0.990 0.592
0.312 0.490 0.092
0.688 0.510 0.592
```

Summary:
ΔE_f (raw) = -94 meV/atom



# Pt2RhCl

A geometry-optimized Pt2RhCl structure (PBE, Alexandria via LeMat-Bulk).

```
Pt2RhCl
1.0
-1.239 0.669 6.153
-2.960 -1.355 5.407
2.313 -2.794 2.242
Cl Pt Rh
1 2 1
direct
0.750 0.750 0.750
0.962 0.962 0.038
0.538 0.538 0.462
0.250 0.250 0.250
```

Summary:
ΔE_f (raw) = 367 meV/atom
Energy above the most stable polymorph in this dataset = 0.168 eV/atom



# LaHo5Er4

A geometry-optimized LaHo5Er4 structure (PBE, Alexandria via LeMat-Bulk).

```
LaHo5Er4
1.0
-1.543 -1.023 6.003
3.704 -6.129 3.194
4.565 3.812 5.110
Er Ho La
4 5 1
direct
0.402 0.403 0.701
0.506 0.597 0.299
0.103 0.299 0.403
0.805 0.701 0.597
0.092 0.621 0.091
0.712 0.091 0.379
0.183 0.909 0.621
0.681 0.000 0.000
0.804 0.379 0.909
0.224 0.000 0.000
```

Summary:
E_form = 309 meV/atom
Energy above the most stable polymorph in this dataset = 0.241 eV/atom



# Sc2TeP

A geometry-optimized Sc2TeP structure (PBE, Alexandria via LeMat-Bulk).

```
Sc2TeP
1.0
7.163 -0.002 -0.001
6.124 3.715 -0.001
6.124 1.712 3.298
P Te Sc
1 1 2
direct
0.668 0.668 0.668
0.499 0.499 0.499
0.068 0.068 0.068
0.264 0.264 0.264
```

Summary:
ΔE_f (raw) = -1361 meV/atom
Energy above the most stable polymorph in this dataset = 0.031 eV/atom



# Cs4LiCd3Cl12

A geometry-optimized Cs4LiCd3Cl12 structure (PBE, Alexandria via LeMat-Bulk).

```
Cs4LiCd3Cl12
1.0
9.187 0.000 0.000
-3.062 8.662 0.000
-3.062 -4.331 7.501
Cl Cd Cs Li
12 3 4 1
direct
0.500 0.250 0.750
0.253 0.000 0.253
0.250 0.500 0.750
0.500 0.750 0.250
0.747 0.747 0.000
0.747 0.000 0.747
0.750 0.500 0.250
0.000 0.747 0.747
0.250 0.750 0.500
0.000 0.253 0.253
0.253 0.253 0.000
0.750 0.250 0.500
0.000 0.500 0.500
0.500 0.000 0.500
0.500 0.500 0.000
0.500 0.000 0.000
0.000 0.500 0.000
0.500 0.500 0.500
0.000 0.000 0.500
0.000 0.000 0.000
```

Summary:
ΔE_f (raw) = -1452 meV/atom



# Pu4Rh3Au

A geometry-optimized Pu4Rh3Au structure (PBE, Alexandria via LeMat-Bulk).

```
Pu4Rh3Au
1.0
4.871 0.000 0.000
0.000 7.090 0.000
0.000 0.000 9.741
Rh Pu Au
6 8 2
direct
0.000 0.000 0.500
0.499 0.500 0.750
0.500 0.000 0.250
0.500 0.000 0.750
0.000 0.000 0.000
0.501 0.500 0.250
0.000 0.761 0.750
0.000 0.239 0.250
0.000 0.761 0.250
0.000 0.239 0.750
0.500 0.761 0.000
0.500 0.239 0.000
0.500 0.239 0.500
0.500 0.761 0.500
0.000 0.500 0.500
0.000 0.500 0.000
```

Summary:
E_form = -396 meV/atom



# SrIn2Co2

A geometry-optimized SrIn2Co2 structure (PBE, Alexandria via LeMat-Bulk).

```
SrIn2Co2
1.0
4.471 0.000 0.000
0.000 4.471 0.000
2.235 2.235 5.219
Co In Sr
2 2 1
direct
0.394 0.394 0.211
0.606 0.606 0.789
0.250 0.750 0.500
0.750 0.250 0.500
0.000 0.000 0.000
```

Summary:
E_form = 45 meV/atom



# BaPS2I

A geometry-optimized BaPS2I structure (PBE, Alexandria via LeMat-Bulk).

```
BaPS2I
1.0
5.232 0.000 0.000
0.000 5.232 0.000
0.000 0.000 5.208
S Ba I P
2 1 1 1
direct
0.500 0.000 0.000
0.000 0.500 0.000
0.500 0.500 0.500
0.000 0.000 0.000
0.000 0.000 0.500
```

Summary:
ΔE_f (raw) = -61 meV/atom
Energy above the most stable polymorph in this dataset = 0.000 eV/atom



# Dy2InSb

A geometry-optimized Dy2InSb structure (PBE, Alexandria via LeMat-Bulk).

```
Dy2InSb
1.0
-3.109 2.937 -0.803
-3.021 -3.305 -0.391
-0.815 2.392 11.904
Sb In Dy
2 2 4
direct
0.250 0.189 0.378
0.750 0.811 0.622
0.750 0.542 0.085
0.250 0.458 0.915
0.750 0.937 0.873
0.750 0.683 0.366
0.250 0.063 0.127
0.250 0.317 0.634
```

Summary:
ΔE_f (raw) = -766 meV/atom
Energy above the most stable polymorph in this dataset = 0.000 eV/atom



# Ce2Al6NiPd

A geometry-optimized Ce2Al6NiPd structure (PBE, Alexandria via LeMat-Bulk).

```
Ce2Al6NiPd
1.0
-5.628 -3.379 -0.699
2.796 -5.248 2.870
-2.849 -2.798 5.261
Al Ce Ni Pd
6 2 1 1
direct
0.242 0.242 0.516
0.242 0.758 0.000
0.758 0.758 0.000
0.758 0.758 0.484
0.758 0.242 0.000
0.242 0.242 0.000
0.250 0.750 0.500
0.750 0.250 0.500
0.000 0.000 0.000
0.500 0.500 0.000
```

Summary:
E_form = -331 meV/atom



Calculated total energy readings, ordered: -27.12; -16.24; -15.95; -36.11; -68.43; -52.78; -21.08; -6.66; -39.53; -22.45; -11.56; -30.95; -24.69; -47.50; -19.81; -42.97; -26.66; -59.27; -171.65; -21.15; -17.44; -38.26; -48.60 eV per cell